Density functional theory data (PBE) for a relaxed structure of DyGePb2.

CIF file:
```
data_DyGePb2
_chemical_formula_sum 'Dy1 Ge1 Pb2'
_cell_length_a 4.620
_cell_length_b 4.620
_cell_length_c 4.920
_cell_angle_alpha 90.00
_cell_angle_beta 90.00
_cell_angle_gamma 90.00
_space_group_name_H-M_alt 'P 4/m m m'
_space_group_IT_number 123
_space_group_name_Hall '-P 4 2'
loop_
_atom_site_label
_atom_site_fract_x
_atom_site_fract_y
_atom_site_fract_z
_atom_site_occupancy
Dy1 0.000 0.000 0.000 1
Ge1 0.500 0.500 0.000 1
Pb1 0.000 0.500 0.500 1
```

The energy relative to the elements is -1.02 eV per formula unit. The density of states at the Fermi level comes out at 2.1 states/eV per cell. The distance to the lowest polymorph of the same formula is 0.000 eV per atom.